# 1
PBE-GGA Sc4TlZnIn2, optimized geometry; V = 175 Å³ per cell; DFT total energy = -37.3 eV per cell; formation energy = -0.36 eV/atom; SG = No. 166
1.0
2.491 1.438 8.144
-2.491 1.438 8.144
0.000 -2.876 8.144
Sc Tl Zn In
4 1 1 2
direct
0.122 0.122 0.122
0.372 0.372 0.372
0.628 0.628 0.628
0.878 0.878 0.878
0.500 0.500 0.500
0.000 0.000 0.000
0.251 0.251 0.251
0.749 0.749 0.749

=====

# 2
PBE-GGA RbGa2ReSi, optimized geometry; V = 118 Å³ per cell; DFT total energy = -25.3 eV per cell; energy relative to the elements, uncorrected = -0.073 eV per atom; SG = No. 123
1.0
4.994 0.000 0.000
0.000 4.994 0.000
0.000 0.000 4.736
Rb Ga Re Si
1 2 1 1
direct
0.000 0.000 0.000
0.000 0.500 0.500
0.500 0.000 0.500
0.500 0.500 0.500
0.500 0.500 0.000

=====

# 3
PBE-GGA PmNd5Y2Th, optimized geometry; V = 627 Å³ per cell; DFT total energy = -95.1 eV per cell; formation energy = 0.15 eV/atom; SG = No. 36
1.0
2.869 -10.278 0.000
2.869 10.278 0.000
0.000 0.000 10.630
Pm Nd Y Th
2 10 4 2
direct
0.091 0.909 0.500
0.909 0.091 0.000
0.022 0.978 0.792
0.110 0.890 0.076
0.207 0.793 0.752
0.222 0.778 0.361
0.483 0.517 0.071
0.517 0.483 0.571
0.778 0.222 0.861
0.793 0.207 0.252
0.890 0.110 0.576
0.978 0.022 0.292
0.383 0.617 0.369
0.387 0.613 0.784
0.613 0.387 0.284
0.617 0.383 0.869
0.299 0.701 0.060
0.701 0.299 0.560

=====

# 4
PBE-GGA Hf2ScAl2Rh5, optimized geometry; V = 324 Å³ per cell; DFT total energy = -158.2 eV per cell; formation energy = -0.86 eV/atom; SG = No. 127
1.0
9.590 0.000 0.000
0.000 9.590 0.000
0.000 0.000 3.527
Hf Sc Al Rh
4 2 4 10
direct
0.174 0.326 0.000
0.326 0.826 0.000
0.674 0.174 0.000
0.826 0.674 0.000
0.000 0.000 0.000
0.500 0.500 0.000
0.124 0.624 0.000
0.376 0.124 0.000
0.624 0.876 0.000
0.876 0.376 0.000
0.000 0.500 0.500
0.072 0.792 0.500
0.208 0.072 0.500
0.292 0.572 0.500
0.428 0.292 0.500
0.500 0.000 0.500
0.572 0.708 0.500
0.708 0.428 0.500
0.792 0.928 0.500
0.928 0.208 0.500